Here is Dy4Y5Ho2 after structural relaxation from Alexandria. Energies are from PBE-GGA.

## Properties
Total moment, μB/atom: 0.00
ΔH_f (0 K), eV per formula unit: 0.233
Offset from the most stable computed form, meV per atom: 0
N(E_F), states/eV/f.u.: 15.19
ρ, Mg/m³: 6.8
VASP energy, eV per atom: -5.42

abc: 3.5475 9.4009 11.7846
angles: 106.42 81.40 112.19
Last column: nearest neighbours and their distance in Å.
Element x y z (fractional)
Y: 0.4100 0.1835 0.5474  7 Y 3.54-3.58, 3 Dy 3.54-3.55, 2 Ho 3.55-3.56
Y: 0.0460 0.9099 0.7272  7 Y 3.54-3.57, 3 Dy 3.55-3.56, 2 Ho 3.56
Y: 0.5900 0.8165 0.4526  7 Y 3.54-3.58, 3 Dy 3.54-3.55, 2 Ho 3.55-3.56
Y: 0.9540 0.0901 0.2728  7 Y 3.54-3.57, 3 Dy 3.55-3.56, 2 Ho 3.56
Y: 0.5000 0.0000 0.0000  6 Y 3.55-3.56, 2 Ho 3.55, 4 Dy 3.56
Dy: 0.7723 0.4539 0.3635  5 Y 3.54-3.56, 6 Dy 3.54-3.56, 1 Ho 3.56
Dy: 0.2277 0.5461 0.6365  5 Y 3.54-3.56, 6 Dy 3.54-3.56, 1 Ho 3.56
Dy: 0.6810 0.6353 0.9085  4 Ho 3.53-3.54, 5 Dy 3.54-3.55, 3 Y 3.56
Dy: 0.3190 0.3647 0.0915  4 Ho 3.53-3.54, 5 Dy 3.54-3.55, 3 Y 3.56
Ho: 0.1352 0.7252 0.1798  5 Dy 3.53-3.56, 2 Ho 3.55, 5 Y 3.55-3.56
Ho: 0.8648 0.2748 0.8202  5 Dy 3.53-3.56, 2 Ho 3.55, 5 Y 3.55-3.56

Here is Dy4YHo after structural relaxation from Alexandria. Energies are from PBE-GGA.

## Properties
Total moment, μB/atom: 0.04
ΔH_f (0 K), eV per formula unit: 1.495
Offset from the most stable computed form, meV per atom: 229
N(E_F), states/eV/f.u.: 9.92
ρ, Mg/m³: 7.6
VASP energy, eV per atom: -4.66

abc: 6.5474 6.5474 6.5474
angles: 60.00 60.00 60.00
Last column: nearest neighbours and their distance in Å.
Element x y z (fractional)
Dy: 0.6250 0.1250 0.6250  6 Dy 3.27
Dy: 0.6250 0.6250 0.1250  6 Dy 3.27
Dy: 0.6250 0.6250 0.6250  6 Dy 3.27
Dy: 0.1250 0.6250 0.6250  6 Dy 3.27
Y: 0.2500 0.2500 0.2500  12 Dy 3.84, 4 Ho 4.01
Ho: 0.0000 0.0000 0.0000  12 Dy 3.84, 4 Y 4.01

Here is Dy3Y4Ho8 after structural relaxation from Alexandria. Energies are from PBE-GGA.

## Properties
Total moment, μB/atom: 0.00
ΔH_f (0 K), eV per formula unit: 2.033
Offset from the most stable computed form, meV per atom: 0
N(E_F), states/eV/f.u.: 23.26
ρ, Mg/m³: 7.4
VASP energy, eV per atom: -4.95

abc: 6.9006 6.9006 12.3768
angles: 73.81 73.81 60.00
Last column: nearest neighbours and their distance in Å.
Element x y z (fractional)
Dy: 0.0000 0.5000 0.5000  6 Ho 3.39-3.52, 4 Dy 3.45, 2 Y 3.45
Dy: 0.0000 0.0000 0.5000  6 Ho 3.39-3.52, 4 Dy 3.45, 2 Y 3.45
Dy: 0.5000 0.0000 0.5000  6 Ho 3.39-3.52, 2 Y 3.45, 4 Dy 3.45
Ho: 0.7553 0.7553 0.7340  1 Y 3.22, 3 Dy 3.39, 6 Ho 3.45
Ho: 0.7525 0.2495 0.7485  6 Ho 3.43-3.47, 3 Y 3.48-3.55, 2 Dy 3.52
Ho: 0.7505 0.2475 0.2515  6 Ho 3.43-3.47, 3 Y 3.48-3.55, 2 Dy 3.52
Ho: 0.2495 0.2495 0.7485  6 Ho 3.43-3.47, 3 Y 3.48-3.55, 2 Dy 3.52
Ho: 0.2495 0.7525 0.7485  6 Ho 3.43-3.47, 3 Y 3.48-3.55, 2 Dy 3.52
Ho: 0.2475 0.7505 0.2515  6 Ho 3.43-3.47, 3 Y 3.48-3.55, 2 Dy 3.52
Ho: 0.7505 0.7505 0.2515  6 Ho 3.43-3.47, 3 Y 3.48-3.55, 2 Dy 3.52
Ho: 0.2447 0.2447 0.2660  1 Y 3.22, 3 Dy 3.39, 6 Ho 3.45
Y: 0.3362 0.3362 0.9915  4 Ho 3.22-3.48
Y: 0.6638 0.6638 0.0085  4 Ho 3.22-3.48
Y: 0.5000 0.5000 0.5000  6 Dy 3.45, 6 Ho 3.53
Y: 0.0000 0.0000 0.0000  6 Ho 3.55

Here is DyY5Ho after structural relaxation from Alexandria. Energies are from PBE-GGA.

## Properties
Total moment, μB/atom: 0.00
ΔH_f (0 K), eV per formula unit: 1.260
N(E_F), states/eV/f.u.: 12.22
ρ, Mg/m³: 5.6
VASP energy, eV per atom: -5.75

abc: 6.0899 9.2454 8.8603
angles: 86.04 77.89 70.77
Last column: nearest neighbours and their distance in Å.
Element x y z (fractional)
Ho: 0.0000 0.0000 0.5000  6 Y 3.34-3.64, 2 Dy 3.38
Ho: 0.0000 0.0000 0.0000  6 Y 3.34-3.64, 2 Dy 3.38
Y: 0.1430 0.7140 0.2500  6 Y 3.32-3.55, 2 Ho 3.34
Y: 0.0142 0.3751 0.3544  8 Y 3.30-3.67, 1 Dy 3.57, 1 Ho 3.64
Y: 0.8570 0.2860 0.7500  6 Y 3.32-3.55, 2 Ho 3.34
Y: 0.5418 0.6929 0.4627  5 Y 3.30-3.67, 1 Dy 3.45, 1 Ho 3.54
Y: 0.6107 0.3751 0.1456  8 Y 3.30-3.67, 1 Dy 3.57, 1 Ho 3.64
Y: 0.9858 0.6249 0.6456  8 Y 3.30-3.67, 1 Dy 3.57, 1 Ho 3.64
Y: 0.4582 0.3071 0.5373  5 Y 3.30-3.67, 1 Dy 3.45, 1 Ho 3.54
Y: 0.7653 0.6929 0.0373  5 Y 3.30-3.67, 1 Dy 3.45, 1 Ho 3.54
Y: 0.3893 0.6249 0.8544  8 Y 3.30-3.67, 1 Dy 3.57, 1 Ho 3.64
Y: 0.2347 0.3071 0.9627  5 Y 3.30-3.67, 1 Dy 3.45, 1 Ho 3.54
Dy: 0.4871 0.0259 0.2500  2 Ho 3.38, 6 Y 3.45-3.70
Dy: 0.5129 0.9741 0.7500  2 Ho 3.38, 6 Y 3.45-3.70

Here is DyY12Ho6 after structural relaxation from Alexandria. Energies are from PBE-GGA.

## Properties
Total moment, μB/atom: 0.00
ΔH_f (0 K), eV per formula unit: 2.893
Offset from the most stable computed form, meV per atom: 0
N(E_F), states/eV/f.u.: 34.49
ρ, Mg/m³: 5.9
VASP energy, eV per atom: -5.62

abc: 8.5372 8.5372 8.5372
angles: 87.93 87.93 87.93
Last column: nearest neighbours and their distance in Å.
Element x y z (fractional)
Y: 0.0107 0.2019 0.3589  4 Y 3.45-3.58, 4 Ho 3.50-3.68, 1 Dy 3.57
Y: 0.5427 0.4361 0.7767  3 Ho 3.27-3.45, 6 Y 3.33-3.58
Y: 0.5639 0.2233 0.4573  3 Ho 3.27-3.45, 6 Y 3.33-3.58
Y: 0.4361 0.7767 0.5427  3 Ho 3.27-3.45, 6 Y 3.33-3.58
Y: 0.6411 0.9893 0.7981  4 Y 3.45-3.58, 4 Ho 3.50-3.68, 1 Dy 3.57
Y: 0.4573 0.5639 0.2233  3 Ho 3.27-3.45, 6 Y 3.33-3.58
Y: 0.2019 0.3589 0.0107  4 Y 3.45-3.58, 4 Ho 3.50-3.68, 1 Dy 3.57
Y: 0.7767 0.5427 0.4361  3 Ho 3.27-3.45, 6 Y 3.33-3.58
Y: 0.7981 0.6411 0.9893  4 Y 3.45-3.58, 4 Ho 3.50-3.68, 1 Dy 3.57
Y: 0.3589 0.0107 0.2019  4 Y 3.45-3.58, 4 Ho 3.50-3.68, 1 Dy 3.57
Y: 0.2233 0.4573 0.5639  3 Ho 3.27-3.45, 6 Y 3.33-3.58
Y: 0.9893 0.7981 0.6411  4 Y 3.45-3.58, 4 Ho 3.50-3.68, 1 Dy 3.57
Ho: 0.0928 0.6936 0.2557  6 Y 3.27-3.60, 1 Dy 3.44, 2 Ho 3.46
Ho: 0.6936 0.2557 0.0928  6 Y 3.27-3.60, 1 Dy 3.44, 2 Ho 3.46
Ho: 0.3064 0.7443 0.9072  6 Y 3.27-3.60, 1 Dy 3.44, 2 Ho 3.46
Ho: 0.7443 0.9072 0.3064  6 Y 3.27-3.60, 1 Dy 3.44, 2 Ho 3.46
Ho: 0.9072 0.3064 0.7443  6 Y 3.27-3.60, 1 Dy 3.44, 2 Ho 3.46
Ho: 0.2557 0.0928 0.6936  6 Y 3.27-3.60, 1 Dy 3.44, 2 Ho 3.46
Dy: 0.0000 0.0000 0.0000  6 Ho 3.44, 6 Y 3.57

Here is Dy7YHo4 after structural relaxation from Alexandria. Energies are from PBE-GGA.

## Properties
Total moment, μB/atom: 0.01
ΔH_f (0 K), eV per formula unit: 3.476
Offset from the most stable computed form, meV per atom: 202
N(E_F), states/eV/f.u.: 20.13
ρ, Mg/m³: 8.0
VASP energy, eV per atom: -4.46

abc: 5.8510 11.5028 6.6741
angles: 83.52 64.00 75.27
Last column: nearest neighbours and their distance in Å.
Element x y z (fractional)
Dy: 0.9402 0.3239 0.7956  4 Dy 3.27-3.54, 3 Ho 3.58-3.65
Dy: 0.3664 0.5017 0.7655  4 Dy 3.19-3.54, 5 Ho 3.26-3.56
Dy: 0.7872 0.9231 0.5024  4 Dy 3.11-3.39, 1 Y 3.13, 4 Ho 3.25-3.36
Dy: 0.5000 0.0000 0.0000  2 Y 2.93, 2 Dy 3.11
Dy: 0.2128 0.0769 0.4976  4 Dy 3.11-3.39, 1 Y 3.13, 4 Ho 3.25-3.36
Dy: 0.6336 0.4983 0.2345  4 Dy 3.19-3.54, 5 Ho 3.26-3.56
Dy: 0.0598 0.6761 0.2044  4 Dy 3.27-3.54, 3 Ho 3.58-3.65
Y: 0.0000 0.0000 0.0000  4 Dy 2.93-3.13
Ho: 0.6357 0.2248 0.5037  7 Dy 3.36-3.58, 2 Ho 3.63
Ho: 0.2476 0.3172 0.1877  4 Dy 3.25-3.56, 2 Ho 3.63
Ho: 0.3643 0.7752 0.4963  7 Dy 3.36-3.58, 2 Ho 3.63
Ho: 0.7524 0.6828 0.8123  4 Dy 3.25-3.56, 2 Ho 3.63

Here is Dy5Y2Ho3 after structural relaxation from Alexandria. Energies are from PBE-GGA.

## Properties
Total moment, μB/atom: 0.00
ΔH_f (0 K), eV per formula unit: 2.048
N(E_F), states/eV/f.u.: 20.06
ρ, Mg/m³: 7.6
VASP energy, eV per atom: -4.76

abc: 9.5314 9.5213 9.4118
angles: 108.28 108.33 112.30
Last column: nearest neighbours and their distance in Å.
Element x y z (fractional)
Dy: 0.6391 0.8549 0.2451  3 Ho 3.44-3.67, 2 Y 3.44-3.66, 3 Dy 3.51-3.58
Dy: 0.5195 0.7695 0.5389  5 Ho 3.23-3.46, 2 Y 3.43, 2 Dy 3.51
Dy: 0.3609 0.1451 0.7549  3 Ho 3.44-3.67, 2 Y 3.44-3.66, 3 Dy 3.51-3.58
Dy: 0.8940 0.6098 0.7549  3 Ho 3.44-3.67, 2 Y 3.44-3.66, 3 Dy 3.51-3.58
Dy: 0.4805 0.2305 0.4611  5 Ho 3.23-3.46, 2 Y 3.43, 2 Dy 3.51
Dy: 0.1060 0.3902 0.2451  3 Ho 3.44-3.67, 2 Y 3.44-3.66, 3 Dy 3.51-3.58
Dy: 0.0262 0.2762 0.5524  1 Dy 3.07, 2 Y 3.30
Dy: 0.7762 0.5262 0.0524  1 Dy 3.07, 2 Ho 3.30
Dy: 0.9738 0.7238 0.4476  1 Dy 3.07, 2 Y 3.30
Dy: 0.2238 0.4738 0.9476  1 Dy 3.07, 2 Ho 3.30
Y: 0.0330 0.9870 0.2532  3 Ho 3.21-3.43, 5 Dy 3.30-3.54
Y: 0.7202 0.2662 0.2532  3 Ho 3.21-3.43, 5 Dy 3.30-3.54
Y: 0.2798 0.7338 0.7468  3 Ho 3.21-3.43, 5 Dy 3.30-3.54
Y: 0.9670 0.0130 0.7468  3 Ho 3.21-3.43, 5 Dy 3.30-3.54
Ho: 0.5128 0.4644 0.2433  1 Y 3.21, 6 Dy 3.30-3.55, 1 Ho 3.39
Ho: 0.7269 0.9769 0.9538  3 Dy 3.23-3.50, 4 Y 3.30-3.43, 2 Ho 3.39
Ho: 0.2731 0.0231 0.0462  3 Dy 3.23-3.50, 4 Y 3.30-3.43, 2 Ho 3.39
Ho: 0.2305 0.7789 0.2433  1 Y 3.21, 6 Dy 3.30-3.55, 1 Ho 3.39
Ho: 0.7695 0.2211 0.7567  1 Y 3.21, 6 Dy 3.30-3.55, 1 Ho 3.39
Ho: 0.4872 0.5356 0.7567  1 Y 3.21, 6 Dy 3.30-3.55, 1 Ho 3.39

Here is Dy2Y5Ho after structural relaxation from Alexandria. Energies are from PBE-GGA.

## Properties
Total moment, μB/atom: 0.00
ΔH_f (0 K), eV per formula unit: 0.168
Offset from the most stable computed form, meV per atom: 17
N(E_F), states/eV/f.u.: 10.06
ρ, Mg/m³: 6.1
VASP energy, eV per atom: -5.74

abc: 5.0228 7.1184 14.2346
angles: 90.00 90.00 90.00
Last column: nearest neighbours and their distance in Å.
Element x y z (fractional)
Y: 0.5000 0.7500 0.6247  4 Dy 3.55-3.57, 6 Y 3.55-3.56, 2 Ho 3.55
Y: 0.5000 0.2500 0.8753  4 Dy 3.55-3.57, 6 Y 3.55-3.56, 2 Ho 3.55
Y: 0.5000 0.7500 0.1247  4 Dy 3.55-3.57, 6 Y 3.55-3.56, 2 Ho 3.55
Y: 0.0000 0.0000 0.0000  6 Y 3.55-3.57, 4 Dy 3.56, 2 Ho 3.56
Y: 0.0000 0.5007 0.2494  1 Ho 3.55, 7 Y 3.55-3.57, 4 Dy 3.55-3.56
Y: 0.0000 0.4993 0.7506  1 Ho 3.55, 7 Y 3.55-3.57, 4 Dy 3.55-3.56
Y: 0.0000 0.0007 0.2506  1 Ho 3.55, 7 Y 3.55-3.57, 4 Dy 3.55-3.56
Y: 0.5000 0.2500 0.3753  4 Dy 3.55-3.57, 6 Y 3.55-3.56, 2 Ho 3.55
Y: 0.0000 0.5000 0.5000  6 Y 3.55-3.57, 4 Dy 3.56, 2 Ho 3.56
Y: 0.0000 0.9993 0.7494  1 Ho 3.55, 7 Y 3.55-3.57, 4 Dy 3.55-3.56
Dy: 0.5000 0.7489 0.8754  10 Y 3.55-3.57, 2 Ho 3.55
Dy: 0.5000 0.2511 0.1246  10 Y 3.55-3.57, 2 Ho 3.55
Dy: 0.5000 0.2489 0.6246  10 Y 3.55-3.57, 2 Ho 3.55
Dy: 0.5000 0.7511 0.3754  10 Y 3.55-3.57, 2 Ho 3.55
Ho: 0.0000 0.0000 0.5000  4 Dy 3.55, 8 Y 3.55-3.56
Ho: 0.0000 0.5000 0.0000  4 Dy 3.55, 8 Y 3.55-3.56

Q: The lowest ΔH_f (0 K) belongs to which entry?
A: Dy2Y5Ho

Q: What is the formula in the second record?
A: Dy4YHo